## LaSmNi2P2 (GGA-PBE)

Data for crystalline LaSmNi2P2 at its relaxed geometry.

Geometry as extended XYZ:
```
6
Lattice="3.989 0.000 0.000 -1.994 3.454 0.000 0.000 0.000 8.052" Properties=species:S:1:pos:R:3 pbc="T T T"
P 0.000 2.303 5.955
P 1.994 1.151 2.097
Ni 1.994 1.151 6.006
Ni 0.000 2.303 2.046
La 0.000 0.000 0.000
Sm 0.000 0.000 4.026
```

Output
**Calculated total energy**: -6.457 eV per atom
**Magnetic moment**: 0.0 Bohr magnetons per cell